A plane-wave DFT calculation with PBE-GGA was carried out for a geometry-optimized Tm3GeOs structure.

POSCAR file:
```
Tm3GeOs
1.0
6.916 -2.171 0.000
6.916 2.171 0.000
-0.550 0.000 7.980
Tm Ge Os
6 2 2
direct
0.049 0.049 0.309
0.240 0.240 0.695
0.388 0.388 0.059
0.612 0.612 0.941
0.760 0.760 0.305
0.951 0.951 0.691
0.405 0.405 0.436
0.595 0.595 0.564
0.196 0.196 0.093
0.804 0.804 0.907
```

Calculated values
energy of formation from the pure elements = -0.429 eV/atom
SG = C2/m
total magnetic moment = 0.00 μB per formula unit
final energy = -6.282 eV/atom